Record 1
DFT (PBE-GGA) results for CaLaMgBi after structural relaxation.

Summary:
Its total energy is -14.0 eV/cell. For the total magnetization, the calculation gives 0.01 μB per cell. The value obtained for the calculated formation energy is -39 kJ/mol of atoms.

a = 5.606 Å, b = 5.606 Å, c = 5.606 Å
α = 60.00°, β = 60.00°, γ = 60.00°
Fractional positions:
Ca  0.000  0.000  0.000
La  0.500  0.500  0.500
Mg  0.250  0.250  0.250
Bi  0.750  0.750  0.750

***

Record 2
DFT (PBE-GGA) results for NaCa2LaBi after structural relaxation.

Summary:
Its total energy is -12.1 eV/cell. For the total magnetization, the calculation gives 0.00 μB per cell. The value obtained for the calculated formation energy is 39 kJ/mol of atoms.

a = 6.355 Å, b = 6.355 Å, c = 6.195 Å
α = 90.00°, β = 90.00°, γ = 90.00°
Fractional positions:
Na  0.000  0.000  0.000
Ca  0.000  0.500  0.500
Ca  0.500  0.000  0.500
La  0.500  0.500  0.500
Bi  0.500  0.500  0.000

***

Record 3
DFT (PBE-GGA) results for CaLa2NbBi after structural relaxation.

Summary:
Its total energy is -25.2 eV/cell. For the total magnetization, the calculation gives 0.07 μB per cell. The value obtained for the calculated formation energy is 13 kJ/mol of atoms.

a = 5.599 Å, b = 5.599 Å, c = 5.679 Å
α = 90.00°, β = 90.00°, γ = 90.00°
Fractional positions:
Ca  0.000  0.000  0.000
La  0.000  0.500  0.500
La  0.500  0.000  0.500
Nb  0.500  0.500  0.500
Bi  0.500  0.500  0.000

***

Record 4
DFT (PBE-GGA) results for CaLa2NdBi4 after structural relaxation.

Summary:
Its total energy is -39.4 eV/cell. For the total magnetization, the calculation gives 0.00 μB per cell. The value obtained for the calculated formation energy is -88 kJ/mol of atoms.

a = 8.017 Å, b = 4.683 Å, c = 8.129 Å
α = 90.00°, β = 109.69°, γ = 90.00°
Fractional positions:
Ca  0.000  0.000  0.000
La  0.500  0.000  0.500
La  0.500  0.500  0.000
Nd  0.000  0.500  0.500
Bi  0.246  0.000  0.748
Bi  0.247  0.500  0.250
Bi  0.753  0.500  0.750
Bi  0.754  0.000  0.252

***

Record 5
DFT (PBE-GGA) results for CaLaNd2Bi4 after structural relaxation.

Summary:
Its total energy is -39.1 eV/cell. For the total magnetization, the calculation gives 0.00 μB per cell. The value obtained for the calculated formation energy is -85 kJ/mol of atoms.

a = 8.040 Å, b = 8.040 Å, c = 8.040 Å
α = 131.87°, β = 131.87°, γ = 70.43°
Fractional positions:
Ca  0.000  0.000  0.000
La  0.500  0.500  0.000
Nd  0.250  0.750  0.500
Nd  0.750  0.250  0.500
Bi  0.000  0.500  0.500
Bi  0.250  0.250  0.000
Bi  0.500  0.000  0.500
Bi  0.750  0.750  0.000

***

Record 6
DFT (PBE-GGA) results for CaLa2NiBi after structural relaxation.

Summary:
Its total energy is -23.9 eV/cell. For the total magnetization, the calculation gives 0.00 μB per cell. The value obtained for the calculated formation energy is -46 kJ/mol of atoms.

a = 5.304 Å, b = 5.304 Å, c = 5.547 Å
α = 90.00°, β = 90.00°, γ = 90.00°
Fractional positions:
Ca  0.000  0.000  0.000
La  0.000  0.500  0.500
La  0.500  0.000  0.500
Ni  0.000  0.000  0.500
Bi  0.500  0.500  0.000

***

Record 7
DFT (PBE-GGA) results for Ca2LaNiBi after structural relaxation.

Summary:
Its total energy is -20.7 eV/cell. For the total magnetization, the calculation gives 0.00 μB per cell. The value obtained for the calculated formation energy is -40 kJ/mol of atoms.

a = 5.429 Å, b = 5.429 Å, c = 5.195 Å
α = 90.00°, β = 90.00°, γ = 90.00°
Fractional positions:
Ca  0.000  0.500  0.000
Ca  0.500  0.000  0.000
La  0.000  0.000  0.500
Ni  0.000  0.000  0.000
Bi  0.500  0.500  0.500

***

Record 8
DFT (PBE-GGA) results for Ca2LaBiO after structural relaxation.

Summary:
Its total energy is -25.1 eV/cell. For the total magnetization, the calculation gives 0.81 μB per cell. Its uncorrected formation energy is -1.4668 eV/atom.

a = 4.854 Å, b = 4.854 Å, c = 5.273 Å
α = 90.00°, β = 90.00°, γ = 90.00°
Fractional positions:
Ca  0.000  0.500  0.000
Ca  0.500  0.000  0.000
La  0.000  0.000  0.500
Bi  0.500  0.500  0.500
O  0.000  0.000  0.000

***

Q: Number 7 is which compound?
A: Ca2LaNiBi